(1)
DFT (GGA-PBEsol) results for Mo2P3O12 after structural relaxation.

POSCAR file:
```
Mo2P3O12
1.0
-3.9518 2.6682 -7.3980
7.4610 -2.0224 -4.7148
-4.2632 -11.4279 -1.8443
Mo P O
8 12 48
Direct
0.2460 0.0263 0.3969 Mo
0.7540 0.5263 0.3969 Mo
0.7540 0.9737 0.6031 Mo
0.2460 0.4737 0.6031 Mo
0.7540 0.5263 0.1031 Mo
0.2460 0.4737 0.8969 Mo
0.7540 0.9737 0.8969 Mo
0.2460 0.0263 0.1031 Mo
0.5991 0.8690 0.1310 P
0.0257 0.7500 0.5000 P
0.4009 0.3690 0.3690 P
0.0257 0.7500 0.0000 P
0.5991 0.8690 0.3690 P
0.9743 0.2500 0.5000 P
0.5991 0.6310 0.8690 P
0.4009 0.3690 0.1310 P
0.5991 0.6310 0.6310 P
0.4009 0.1310 0.6310 P
0.4009 0.1310 0.8690 P
0.9743 0.2500 0.0000 P
0.8748 0.3513 0.0697 O
0.3501 0.4204 0.2500 O
0.9277 0.8425 0.5776 O
0.2960 0.4574 0.0578 O
0.4313 0.9023 0.3828 O
0.4313 0.5977 0.6172 O
0.3501 0.0796 0.7500 O
0.4313 0.5977 0.8828 O
0.6499 0.5796 0.7500 O
0.3795 0.2975 0.6229 O
0.6205 0.7025 0.3771 O
0.0723 0.3425 0.5776 O
0.2141 0.4830 0.7500 O
0.4313 0.9023 0.1172 O
0.3795 0.2025 0.1229 O
0.8748 0.3513 0.4303 O
0.6205 0.7975 0.6229 O
0.2960 0.0426 0.9422 O
0.5687 0.4023 0.1172 O
0.8748 0.1487 0.5697 O
0.0723 0.1575 0.0776 O
0.6499 0.9204 0.2500 O
0.9277 0.6575 0.4224 O
0.7859 0.5170 0.2500 O
0.7040 0.5426 0.9422 O
0.9277 0.8425 0.9224 O
0.7040 0.5426 0.5578 O
0.5687 0.4023 0.3828 O
0.0723 0.1575 0.4224 O
0.9277 0.6575 0.0776 O
0.2960 0.0426 0.5578 O
0.6205 0.7975 0.8771 O
0.8748 0.1487 0.9303 O
0.2141 0.0170 0.2500 O
0.1252 0.8513 0.4303 O
0.1252 0.6487 0.5697 O
0.0723 0.3425 0.9224 O
0.5687 0.0977 0.6172 O
0.3795 0.2975 0.8771 O
0.6205 0.7025 0.1229 O
0.7040 0.9574 0.4422 O
0.1252 0.6487 0.9303 O
0.2960 0.4574 0.4422 O
0.3795 0.2025 0.3771 O
0.7859 0.9830 0.7500 O
0.7040 0.9574 0.0578 O
0.5687 0.0977 0.8828 O
0.1252 0.8513 0.0697 O
```

For the energy above the most stable polymorph in this dataset, the calculation gives 0.0000 eV/atom. The uncorrected formation energy is -35.51 eV per formula unit. Its magnetization is 0.18 μB per atom. The calculated volume is 14.5 A^3/atom.

***

(2)
DFT (GGA-PBEsol) results for ZnWS3 after structural relaxation.

POSCAR file:
```
ZnWS3
1.0
-3.7113 1.4522 2.3896
1.5771 -2.1921 3.7816
2.3091 3.8313 1.2579
Zn S W
1 3 1
Direct
0.5000 0.5000 0.5000 Zn
0.0000 0.5000 0.0000 S
0.0000 0.0000 0.5000 S
0.5000 0.0000 0.0000 S
0.0000 0.0000 0.0000 W
```

The uncorrected formation energy is 0.50 eV per formula unit. Its magnetization is 0.00 μB per atom. The calculated volume is 20.1 A^3/atom.

***

(3)
DFT (GGA-PBEsol) results for ScCd2Pt after structural relaxation.

POSCAR file:
```
ScCd2Pt
1.0
2.9486 0.0000 -0.0106
0.0000 4.8366 0.0000
-0.8956 0.0000 5.2042
Cd Pt Sc
2 1 1
Direct
0.6532 0.0000 0.7617 Cd
0.3468 0.0000 0.2383 Cd
0.5000 0.5000 0.0000 Pt
0.0000 0.5000 0.5000 Sc
```

Its magnetization is 0.00 μB per atom. The calculated volume is 18.5 A^3/atom. As for the formation enthalpy at 0 K: -150 kJ/mol of formula units.

***

(4)
DFT (GGA-PBEsol) results for CsTi2O after structural relaxation.

POSCAR file:
```
CsTi2O
1.0
-4.6071 -2.8279 -3.4535
-4.1829 -3.9410 2.8497
-6.1147 1.7965 0.7287
Cs O Ti
2 2 4
Direct
0.7500 0.7500 0.7500 Cs
0.5000 0.5000 0.5000 Cs
0.2500 0.2500 0.2500 O
0.0000 0.0000 0.0000 O
0.1250 0.1250 0.6250 Ti
0.1250 0.1250 0.1250 Ti
0.6250 0.1250 0.1250 Ti
0.1250 0.6250 0.1250 Ti
```

The uncorrected formation energy is -1.92 eV per formula unit. Its magnetization is 0.00 μB per atom. The calculated volume is 23.3 A^3/atom.

***

> What is the formula in the third record?

ScCd2Pt